No. 1
VASP calculation (PBE) on an optimized crystal structure of ZnCr3.

abc: 4.756 2.390 5.054
angles: 76.32 61.93 90.00
Positions (direct):
1 Cr 0.019 0.998 0.003
2 Cr 0.061 0.750 0.500
3 Cr 0.523 0.502 0.997
4 Zn 0.564 0.250 0.500

Output
For the formation enthalpy at 0 K, the calculation gives 0.3237 eV/atom. For the calculated volume, the calculation gives 12.2 Å³ per atom. The total DFT energy (no corrections) is -28.849 eV/cell.


No. 2
VASP calculation (PBE) on an optimized crystal structure of Zn3Cr.

abc: 2.931 4.773 4.622
angles: 103.87 90.00 72.12
Positions (direct):
1 Cr 0.000 0.000 0.000
2 Zn 0.249 0.501 0.247
3 Zn 0.500 0.000 0.500
4 Zn 0.751 0.499 0.753

Output
For the formation enthalpy at 0 K, the calculation gives 0.1617 eV/atom. For the calculated volume, the calculation gives 14.9 Å³ per atom. The total DFT energy (no corrections) is -12.798 eV/cell.


No. 3
VASP calculation (PBE) on an optimized crystal structure of Zn2Cr.

abc: 4.394 4.394 2.773
angles: 90.00 90.00 90.00
Positions (direct):
1 Cr 0.000 0.000 0.000
2 Zn 0.000 0.500 0.500
3 Zn 0.500 0.000 0.500

Output
For the formation enthalpy at 0 K, the calculation gives 0.3700 eV/atom. For the calculated volume, the calculation gives 17.8 Å³ per atom. The total DFT energy (no corrections) is -11.061 eV/cell.